1.
The following is a DFT calculation (PBE) of TbTmRuRh after structural relaxation.

abc: 3.3906 4.7987 4.8079
angles: 90.00 90.00 90.00
With the nearest neighbours (Å) after each atom.
Fractional positions:
Tb (0.0000, 0.0000, 0.0000)  4 Ru 2.94, 4 Rh 2.94
Tm (0.0000, 0.5000, 0.5000)  4 Rh 2.94, 4 Ru 2.94
Ru (0.5000, 0.5000, 0.0000)  4 Tb 2.94, 4 Tm 2.94
Rh (0.5000, 0.0000, 0.5000)  4 Tm 2.94, 4 Tb 2.94

Output
- energy above the lowest structure with this stoichiometry (meV per atom) = 2
- E_form (kJ/mol of atoms) = -63
- space-group type = Pmmm (47)

2.
The following is a DFT calculation (PBE) of SmYTl4 after structural relaxation.

abc: 5.0501 5.0501 7.6854
angles: 90.05 90.05 90.00
With the nearest neighbours (Å) after each atom.
Fractional positions:
Sm (0.0000, 0.0000, 0.0000)  8 Tl 3.20
Y (0.5000, 0.5000, 0.5000)  8 Tl 3.14
Tl (0.9997, 0.5002, 0.2561)  2 Y 3.14, 2 Sm 3.20
Tl (0.0003, 0.4998, 0.7439)  2 Y 3.14, 2 Sm 3.20
Tl (0.5002, 0.9997, 0.2561)  2 Y 3.14, 2 Sm 3.20
Tl (0.4998, 0.0003, 0.7439)  2 Y 3.14, 2 Sm 3.20

Output
- E_form (kJ/mol of atoms) = -1
- space-group type = C2/m (12)

3.
The following is a DFT calculation (PBE) of KAs after structural relaxation.

abc: 4.4766 4.4766 2.8516
angles: 90.00 90.00 90.00
With the nearest neighbours (Å) after each atom.
Fractional positions:
K (0.0000, 0.0000, 0.0000)  2 K 2.85
As (0.5000, 0.5000, 0.5000)  2 As 2.85

Output
- energy above the lowest structure with this stoichiometry (meV per atom) = 442
- E_form (kJ/mol of atoms) = -2
- space-group type = P4/mmm (123)

4.
The following is a DFT calculation (PBE) of VNiIr after structural relaxation.

abc: 4.4723 4.4723 5.2673
angles: 104.76 104.76 49.77
With the nearest neighbours (Å) after each atom.
Fractional positions:
V (0.0000, 0.0000, 0.0000)  5 Ir 2.54-2.73, 5 Ni 2.55-2.58
V (0.6840, 0.6840, 0.3832)  4 Ni 2.54-2.73, 6 Ir 2.54-2.73
Ni (0.3414, 0.3414, 0.6956)  4 V 2.57-2.59, 5 Ir 2.57-2.70, 3 Ni 2.58-2.61
Ni (0.6728, 0.6728, 0.8598)  5 V 2.54-2.73, 3 Ni 2.58-2.61, 4 Ir 2.63-2.66
Ir (0.0108, 0.0108, 0.5234)  5 V 2.54-2.73, 5 Ni 2.58-2.66, 2 Ir 2.71
Ir (0.3357, 0.3357, 0.1814)  4 Ni 2.57-2.70, 6 V 2.62-2.73, 2 Ir 2.71

Output
- energy above the lowest structure with this stoichiometry (meV per atom) = 0
- E_form (kJ/mol of atoms) = -35
- space-group type = Cm (8)

5.
The following is a DFT calculation (PBE) of Tb4PdC2 after structural relaxation.

abc: 6.4070 6.4070 12.7886
angles: 90.00 90.00 146.65
With the nearest neighbours (Å) after each atom.
Fractional positions:
Tb (0.0000, 0.0000, 0.0000)  4 C 2.60
Tb (0.0000, 0.0000, 0.5000)  4 C 2.60
Tb (0.2676, 0.7324, 0.6072)  3 C 2.45-2.52
Tb (0.2676, 0.7324, 0.8928)  3 C 2.45-2.52
Tb (0.4311, 0.5689, 0.2500)  2 C 2.56
Tb (0.5689, 0.4311, 0.7500)  2 C 2.56
Tb (0.7324, 0.2676, 0.1072)  3 C 2.45-2.52
Tb (0.7324, 0.2676, 0.3928)  3 C 2.45-2.52
Pd (0.1109, 0.8891, 0.2500)  6 Tb 2.87-2.99
Pd (0.8891, 0.1109, 0.7500)  6 Tb 2.87-2.99
C (0.3642, 0.6358, 0.0608)  6 Tb 2.45-2.60
C (0.3642, 0.6358, 0.4392)  6 Tb 2.45-2.60
C (0.6358, 0.3642, 0.5608)  6 Tb 2.45-2.60
C (0.6358, 0.3642, 0.9392)  6 Tb 2.45-2.60

Output
- E_form (kJ/mol of atoms) = -36
- space-group type = Cmcm (63)

6.
The following is a DFT calculation (PBE) of CsCaI2O after structural relaxation.

abc: 6.4715 6.4715 4.5342
angles: 90.00 90.00 90.00
With the nearest neighbours (Å) after each atom.
Fractional positions:
Cs (0.0000, 0.0000, 0.0000)  8 I 3.95
Ca (0.5000, 0.5000, 0.5000)  2 O 2.27
I (0.0000, 0.5000, 0.5000)  2 Ca 3.24
I (0.5000, 0.0000, 0.5000)  2 Ca 3.24
O (0.5000, 0.5000, 0.0000)  2 Ca 2.27

Output
- energy above the lowest structure with this stoichiometry (meV per atom) = 0
- space-group type = P4/mmm (123)

7.
The following is a DFT calculation (PBE) of KInTe after structural relaxation.

abc: 4.4318 5.4477 9.7085
angles: 90.00 102.97 90.00
With the nearest neighbours (Å) after each atom.
Fractional positions:
K (0.1692, 0.2500, 0.3446)  5 Te 3.57-3.61, 3 In 3.82-3.84
K (0.8308, 0.7500, 0.6554)  5 Te 3.57-3.61, 3 In 3.82-3.84
In (0.0297, 0.7500, 0.0616)  2 In 2.96, 2 Te 2.99
In (0.9703, 0.2500, 0.9384)  2 In 2.96, 2 Te 2.99
Te (0.3660, 0.2500, 0.7266)  2 In 2.99
Te (0.6340, 0.7500, 0.2734)  2 In 2.99

Output
- energy above the lowest structure with this stoichiometry (meV per atom) = 0
- space-group type = P2_1/m (11)

8.
The following is a DFT calculation (PBE) of HfMg6SbO8 after structural relaxation.

abc: 4.3652 4.3652 9.9837
angles: 90.00 90.00 90.00
With the nearest neighbours (Å) after each atom.
Fractional positions:
Hf (0.0000, 0.0000, 0.0000)  6 O 2.18-2.32
Mg (0.0000, 0.0000, 0.5000)  4 O 2.18
Mg (0.0000, 0.5000, 0.2764)  5 O 2.20-2.23
Mg (0.0000, 0.5000, 0.7236)  5 O 2.20-2.23
Mg (0.5000, 0.0000, 0.2764)  5 O 2.20-2.23
Mg (0.5000, 0.0000, 0.7236)  5 O 2.20-2.23
Mg (0.5000, 0.5000, 0.5000)  6 O 1.98-2.18
Sb (0.5000, 0.5000, 0.0000)  4 O 2.18
O (0.0000, 0.0000, 0.2320)  4 Mg 2.23, 1 Hf 2.32
O (0.0000, 0.0000, 0.7680)  4 Mg 2.23, 1 Hf 2.32
O (0.0000, 0.5000, 0.0000)  2 Hf 2.18, 2 Sb 2.18
O (0.0000, 0.5000, 0.5000)  6 Mg 2.18-2.23
O (0.5000, 0.0000, 0.0000)  2 Hf 2.18, 2 Sb 2.18
O (0.5000, 0.0000, 0.5000)  6 Mg 2.18-2.23
O (0.5000, 0.5000, 0.3019)  5 Mg 1.98-2.20
O (0.5000, 0.5000, 0.6981)  5 Mg 1.98-2.20

Output
- energy above the lowest structure with this stoichiometry (meV per atom) = 75
- space-group type = P4/mmm (123)